Material: Ac3MgCr2O9
Method: DFT, PBE with a Hubbard U
State: optimized geometry

Lattice parameters (Å, degrees): 5.623 5.623 6.890 90.00 90.00 120.00
Element x y z (fractional)
Ac (0.000, 0.000, 0.000)
Ac (0.333, 0.667, 0.663)
Ac (0.667, 0.333, 0.337)
Mg (0.000, 0.000, 0.500)
Cr (0.333, 0.667, 0.168)
Cr (0.667, 0.333, 0.832)
O (0.000, 0.500, 0.000)
O (0.170, 0.340, 0.328)
O (0.170, 0.830, 0.328)
O (0.340, 0.170, 0.672)
O (0.500, 0.000, 0.000)
O (0.500, 0.500, 0.000)
O (0.660, 0.830, 0.328)
O (0.830, 0.170, 0.672)
O (0.830, 0.660, 0.672)

Summary:
Volume, Å³/cell: 188.6
Calculated total energy, eV for the cell shown: -114.84
Symmetry: P-3m1

---

Material: Ac2MgCrO6
Method: DFT, PBE with a Hubbard U
State: optimized geometry

Lattice parameters (Å, degrees): 5.693 5.645 9.725 90.00 125.74 90.00
Element x y z (fractional)
Ac (0.247, 0.005, 0.250)
Ac (0.247, 0.495, 0.750)
Ac (0.753, 0.505, 0.250)
Ac (0.753, 0.995, 0.750)
Mg (0.500, 0.000, 0.000)
Mg (0.500, 0.500, 0.500)
Cr (0.000, 0.000, 0.500)
Cr (0.000, 0.500, 0.000)
O (0.209, 0.247, 0.969)
O (0.209, 0.253, 0.469)
O (0.218, 0.734, 0.973)
O (0.218, 0.766, 0.473)
O (0.294, 0.003, 0.740)
O (0.294, 0.497, 0.240)
O (0.706, 0.503, 0.760)
O (0.706, 0.997, 0.260)
O (0.782, 0.234, 0.527)
O (0.782, 0.266, 0.027)
O (0.791, 0.747, 0.531)
O (0.791, 0.753, 0.031)

Summary:
Volume, Å³/cell: 253.7
Calculated total energy, eV for the cell shown: -150.13
Symmetry: P2_1/c

---

Material: AcMgCr2O8
Method: DFT, PBE with a Hubbard U
State: optimized geometry

Lattice parameters (Å, degrees): 5.498 5.498 6.989 90.00 90.00 120.00
Element x y z (fractional)
Ac (0.000, 0.000, 0.000)
Mg (0.000, 0.000, 0.500)
Cr (0.333, 0.667, 0.767)
Cr (0.667, 0.333, 0.233)
O (0.163, 0.325, 0.698)
O (0.163, 0.837, 0.698)
O (0.325, 0.163, 0.302)
O (0.333, 0.667, 0.007)
O (0.667, 0.333, 0.993)
O (0.675, 0.837, 0.698)
O (0.837, 0.163, 0.302)
O (0.837, 0.675, 0.302)

Summary:
Volume, Å³/cell: 183.0
Calculated total energy, eV for the cell shown: -84.19
Symmetry: P-3m1

---

Material: Ac2MnCrO6
Method: DFT, PBE with a Hubbard U
State: optimized geometry

Lattice parameters (Å, degrees): 5.656 5.656 3.997 90.00 90.00 90.00
Element x y z (fractional)
Ac (0.000, 0.500, 0.000)
Ac (0.500, 0.000, 0.000)
Mn (0.000, 0.000, 0.500)
Cr (0.500, 0.500, 0.500)
O (0.000, 0.000, 0.000)
O (0.250, 0.250, 0.500)
O (0.250, 0.750, 0.500)
O (0.500, 0.500, 0.000)
O (0.750, 0.250, 0.500)
O (0.750, 0.750, 0.500)

Summary:
Volume, Å³/cell: 127.9
Calculated total energy, eV for the cell shown: -79.15
Symmetry: P4/mmm

---

Material: AcMn2CrO8
Method: DFT, PBE with a Hubbard U
State: optimized geometry

Lattice parameters (Å, degrees): 6.180 6.180 6.180 104.80 104.80 119.29
Element x y z (fractional)
Ac (0.000, 0.000, 0.000)
Mn (0.500, 0.500, 0.000)
Mn (0.750, 0.250, 0.500)
Cr (0.250, 0.750, 0.500)
O (0.338, 0.163, 0.824)
O (0.338, 0.514, 0.176)
O (0.366, 0.023, 0.343)
O (0.486, 0.662, 0.824)
O (0.679, 0.023, 0.657)
O (0.837, 0.662, 0.176)
O (0.977, 0.321, 0.343)
O (0.977, 0.634, 0.657)

Summary:
Volume, Å³/cell: 177.7
Calculated total energy, eV for the cell shown: -83.62
Symmetry: I-4m2

---

Material: AcMnCr2O8
Method: DFT, PBE with a Hubbard U
State: optimized geometry

Lattice parameters (Å, degrees): 6.156 6.156 6.156 106.52 106.52 115.55
Element x y z (fractional)
Ac (0.000, 0.000, 0.000)
Mn (0.750, 0.250, 0.500)
Cr (0.250, 0.750, 0.500)
Cr (0.500, 0.500, 0.000)
O (0.092, 0.417, 0.325)
O (0.092, 0.767, 0.675)
O (0.150, 0.339, 0.811)
O (0.233, 0.908, 0.325)
O (0.528, 0.339, 0.189)
O (0.583, 0.908, 0.675)
O (0.661, 0.472, 0.811)
O (0.661, 0.850, 0.189)

Summary:
Volume, Å³/cell: 178.1
Calculated total energy, eV for the cell shown: -87.73
Symmetry: I-4m2